A relaxed Zr4Cu2N crystal. Source: Alexandria, functional PBE-GGA.

Computed properties:
As for the theoretical density: 7.145 g/cm³. Its relative energy among the computed polymorphs is 0.000 eV per atom. The formation energy (no corrections) comes out at -4.52 eV/f.u.

Unit cell a=8.7294 b=8.7294 c=8.7294 alpha=60.00 beta=60.00 gamma=60.00
Fractional positions:
Zr  0.0689  0.0689  0.4311
Zr  0.6250  0.1250  0.6250
Zr  0.1811  0.8189  0.8189
Zr  0.0689  0.4311  0.0689
Zr  0.4311  0.4311  0.0689
Zr  0.8189  0.1811  0.1811
Zr  0.1811  0.8189  0.1811
Zr  0.1811  0.1811  0.8189
Zr  0.4311  0.0689  0.0689
Zr  0.8189  0.8189  0.1811
Zr  0.6250  0.6250  0.1250
Zr  0.0689  0.4311  0.4311
Zr  0.4311  0.0689  0.4311
Zr  0.8189  0.1811  0.8189
Zr  0.6250  0.6250  0.6250
Zr  0.1250  0.6250  0.6250
Cu  0.4171  0.4171  0.7486
Cu  0.4171  0.7486  0.4171
Cu  0.4171  0.4171  0.4171
Cu  0.8329  0.8329  0.8329
Cu  0.8329  0.8329  0.5014
Cu  0.5014  0.8329  0.8329
Cu  0.7486  0.4171  0.4171
Cu  0.8329  0.5014  0.8329
N  0.6250  0.1250  0.1250
N  0.1250  0.6250  0.1250
N  0.1250  0.1250  0.1250
N  0.1250  0.1250  0.6250